No. 1
Material: Pu3Cd5S12
Method: DFT, GGA-PBE
State: optimized geometry

a = 13.518 Å, b = 13.518 Å, c = 13.518 Å
α = 109.47°, β = 109.47°, γ = 109.47°
Last column: magnetic moment on the atom in μB.
Positions (direct):
Pu  0.750  0.375  0.125  4.64
Pu  0.875  0.750  0.125  4.64
Pu  0.375  0.750  0.625  4.64
Pu  0.250  0.125  0.375  4.64
Pu  0.875  0.125  0.250  4.64
Pu  0.375  0.625  0.250  4.64
Pu  0.625  0.375  0.750  4.64
Pu  0.125  0.875  0.750  4.64
Pu  0.750  0.875  0.625  4.64
Pu  0.625  0.250  0.375  4.64
Pu  0.125  0.250  0.875  4.64
Pu  0.250  0.625  0.875  4.64
Cd  0.125  0.375  0.250  -0.01
Cd  0.000  0.500  0.000  -0.01
Cd  0.000  0.000  0.000  -0.01
Cd  0.375  0.250  0.125  -0.01
Cd  0.500  0.000  0.500  -0.01
Cd  0.500  0.500  0.000  -0.01
Cd  0.125  0.750  0.375  -0.01
Cd  0.750  0.125  0.875  -0.01
Cd  0.750  0.625  0.375  -0.01
Cd  0.375  0.125  0.750  -0.01
Cd  0.625  0.875  0.250  -0.01
Cd  0.500  0.500  0.500  -0.01
Cd  0.500  0.000  0.000  -0.01
Cd  0.000  0.000  0.500  -0.01
Cd  0.250  0.375  0.625  -0.01
Cd  0.250  0.875  0.125  -0.01
Cd  0.000  0.500  0.500  -0.01
Cd  0.875  0.250  0.625  -0.01
Cd  0.625  0.750  0.875  -0.01
Cd  0.875  0.625  0.750  -0.01
S  0.726  0.137  0.054  -0.15
S  0.328  0.554  0.417  -0.15
S  0.946  0.363  0.274  -0.15
S  0.554  0.226  0.137  -0.15
S  0.589  0.726  0.672  -0.15
S  0.946  0.583  0.172  -0.15
S  0.328  0.774  0.411  -0.15
S  0.083  0.911  0.137  -0.15
S  0.583  0.946  0.672  -0.15
S  0.726  0.589  0.172  -0.15
S  0.774  0.446  0.363  -0.15
S  0.828  0.917  0.054  -0.15
S  0.137  0.726  0.554  -0.15
S  0.363  0.417  0.089  -0.15
S  0.089  0.917  0.363  -0.15
S  0.411  0.137  0.583  -0.15
S  0.089  0.172  0.226  -0.15
S  0.446  0.672  0.083  -0.15
S  0.828  0.911  0.274  -0.15
S  0.137  0.411  0.083  -0.15
S  0.363  0.946  0.774  -0.15
S  0.583  0.637  0.411  -0.15
S  0.917  0.828  0.554  -0.15
S  0.774  0.328  0.911  -0.15
S  0.417  0.363  0.589  -0.15
S  0.083  0.172  0.446  -0.15
S  0.226  0.672  0.089  -0.15
S  0.172  0.089  0.726  -0.15
S  0.637  0.054  0.226  -0.15
S  0.863  0.589  0.917  -0.15
S  0.554  0.328  0.917  -0.15
S  0.589  0.863  0.417  -0.15
S  0.911  0.828  0.774  -0.15
S  0.911  0.083  0.637  -0.15
S  0.863  0.274  0.446  -0.15
S  0.172  0.083  0.946  -0.15
S  0.637  0.583  0.911  -0.15
S  0.417  0.054  0.328  -0.15
S  0.274  0.411  0.828  -0.15
S  0.226  0.554  0.637  -0.15
S  0.917  0.089  0.863  -0.15
S  0.672  0.226  0.589  -0.15
S  0.446  0.774  0.863  -0.15
S  0.054  0.417  0.828  -0.15
S  0.411  0.274  0.328  -0.15
S  0.054  0.637  0.726  -0.15
S  0.672  0.446  0.583  -0.15
S  0.274  0.863  0.946  -0.15

Computed properties:
Formation energy (no corrections), kJ per mole of atoms: -70.4
Spin magnetization, μB/cell: 45.67
Fermi-level density of states, states/eV per atom: 1.51

=====

No. 2
Material: Pu3CdS6
Method: DFT, GGA-PBE
State: optimized geometry

a = 6.629 Å, b = 8.571 Å, c = 8.571 Å
α = 102.60°, β = 90.00°, γ = 90.00°
Last column: magnetic moment on the atom in μB.
Positions (direct):
Pu  0.470  0.920  0.715  4.88
Pu  0.970  0.715  0.920  4.88
Pu  0.400  0.397  0.603  -4.81
Pu  0.900  0.603  0.397  -4.81
Pu  0.970  0.080  0.285  4.88
Pu  0.470  0.285  0.080  4.88
Cd  0.012  0.197  0.803  0.00
Cd  0.512  0.803  0.197  0.00
S  0.182  0.688  0.636  -0.02
S  0.682  0.636  0.688  -0.02
S  0.218  0.453  0.906  -0.04
S  0.718  0.906  0.453  -0.04
S  0.195  0.026  0.974  -0.11
S  0.638  0.221  0.779  -0.06
S  0.138  0.779  0.221  -0.06
S  0.695  0.974  0.026  -0.11
S  0.218  0.094  0.547  -0.04
S  0.718  0.547  0.094  -0.04
S  0.182  0.364  0.312  -0.02
S  0.682  0.312  0.364  -0.02

Computed properties:
Formation energy (no corrections), kJ per mole of atoms: -128.8
Spin magnetization, μB/cell: 9.51
Fermi-level density of states, states/eV per atom: 2.60

=====

No. 3
Material: PuTl3Cd2S6
Method: DFT, GGA-PBE
State: optimized geometry

a = 6.839 Å, b = 6.839 Å, c = 7.762 Å
α = 98.26°, β = 98.26°, γ = 120.18°
Last column: magnetic moment on the atom in μB.
Positions (direct):
Pu  0.000  0.000  0.000  4.17
Tl  0.169  0.831  0.500  -0.03
Tl  0.831  0.169  0.500  -0.03
Tl  0.500  0.500  0.500  -0.03
Cd  0.334  0.666  0.000  -0.01
Cd  0.666  0.334  0.000  -0.01
S  0.932  0.612  0.799  -0.13
S  0.749  0.749  0.208  -0.12
S  0.068  0.388  0.201  -0.13
S  0.612  0.932  0.799  -0.13
S  0.251  0.251  0.792  -0.12
S  0.388  0.068  0.201  -0.13

Computed properties:
Formation energy (no corrections), kJ per mole of atoms: -62.4
Spin magnetization, μB/cell: 2.99
Fermi-level density of states, states/eV per atom: 0.79

=====

No. 4
Material: PuTl2CdS4
Method: DFT, GGA-PBE
State: optimized geometry

a = 4.035 Å, b = 7.847 Å, c = 6.845 Å
α = 71.78°, β = 90.00°, γ = 90.00°
Last column: magnetic moment on the atom in μB.
Positions (direct):
Pu  0.000  0.500  0.500  4.59
Tl  0.000  0.000  0.000  -0.02
Tl  0.500  0.000  0.500  -0.01
Cd  0.500  0.500  0.000  0.00
S  0.000  0.695  0.762  -0.10
S  0.000  0.305  0.238  -0.10
S  0.500  0.703  0.282  -0.12
S  0.500  0.297  0.718  -0.12

Computed properties:
Formation energy (no corrections), kJ per mole of atoms: -77.3
Spin magnetization, μB/cell: 4.00
Fermi-level density of states, states/eV per atom: 1.17

=====

No. 5
Material: Pu2CdSb2
Method: DFT, GGA-PBE
State: optimized geometry

a = 7.212 Å, b = 8.338 Å, c = 9.500 Å
α = 90.00°, β = 89.99°, γ = 90.00°
Last column: magnetic moment on the atom in μB.
Positions (direct):
Pu  0.500  0.250  0.111  -5.48
Pu  0.000  0.250  0.111  -5.48
Pu  0.000  0.750  0.889  -5.48
Pu  0.500  0.750  0.889  -5.48
Pu  0.000  0.750  0.356  -5.56
Pu  0.500  0.750  0.356  -5.56
Pu  0.500  0.250  0.644  -5.56
Pu  0.000  0.250  0.644  -5.56
Cd  0.251  0.414  0.379  -0.05
Cd  0.749  0.586  0.621  -0.05
Cd  0.751  0.086  0.379  -0.05
Cd  0.249  0.914  0.621  -0.05
Sb  0.750  0.922  0.115  0.09
Sb  0.250  0.578  0.115  0.09
Sb  0.750  0.422  0.885  0.09
Sb  0.250  0.078  0.885  0.09
Sb  0.750  0.427  0.353  0.06
Sb  0.250  0.073  0.353  0.06
Sb  0.750  0.927  0.647  0.06
Sb  0.250  0.573  0.647  0.06

Computed properties:
Formation energy (no corrections), kJ per mole of atoms: -39.0
Spin magnetization, μB/cell: 46.79
Fermi-level density of states, states/eV per atom: 3.86

=====

No. 6
Material: Pu3Cd2Sb4
Method: DFT, GGA-PBE
State: optimized geometry

a = 4.613 Å, b = 7.219 Å, c = 8.253 Å
α = 111.10°, β = 106.22°, γ = 90.00°
Last column: magnetic moment on the atom in μB.
Positions (direct):
Pu  0.122  0.607  0.243  5.46
Pu  0.878  0.393  0.757  5.46
Pu  0.000  0.000  0.000  5.34
Cd  0.669  0.004  0.337  0.01
Cd  0.331  0.996  0.663  0.01
Sb  0.485  0.702  0.969  -0.07
Sb  0.219  0.269  0.439  -0.07
Sb  0.515  0.298  0.031  -0.07
Sb  0.781  0.731  0.561  -0.07

Computed properties:
Formation energy (no corrections), kJ per mole of atoms: -40.8
Spin magnetization, μB/cell: 16.92
Fermi-level density of states, states/eV per atom: 3.46